Record 1
The following is a PBE calculation of an optimized crystal structure of YbPmRh2, from Alexandria.

a b c (Å): 4.893 4.893 4.893
angles (deg): 60.00 60.00 60.00
Atoms (fractional coordinates):
Yb (0.000, 0.000, 0.000)
Pm (0.500, 0.500, 0.500)
Rh (0.250, 0.250, 0.250)
Rh (0.750, 0.750, 0.750)

## Properties
density of states at the Fermi level: 14.62 states/eV per cell
total energy: -5.89 eV/atom
space-group type: No. 225
crystal system: cubic
total moment: 0.074 μB per atom

Record 2
The following is a PBE calculation of an optimized crystal structure of NdSbPd4, from Alexandria.

a b c (Å): 5.387 5.387 9.291
angles (deg): 90.00 90.00 90.00
Atoms (fractional coordinates):
Nd (0.250, 0.750, 0.250)
Nd (0.750, 0.250, 0.750)
Sb (0.250, 0.750, 0.750)
Sb (0.750, 0.250, 0.250)
Pd (0.013, 0.250, 0.021)
Pd (0.250, 0.013, 0.521)
Pd (0.250, 0.487, 0.521)
Pd (0.487, 0.250, 0.021)
Pd (0.513, 0.750, 0.979)
Pd (0.750, 0.513, 0.479)
Pd (0.750, 0.987, 0.479)
Pd (0.987, 0.750, 0.979)

## Properties
density of states at the Fermi level: 6.76 states/eV per cell
total energy: -5.24 eV/atom
space-group type: No. 137
crystal system: tetragonal
total moment: 0.000 μB per atom

Record 3
The following is a PBE calculation of an optimized crystal structure of LiAcEuGa, from Alexandria.

a b c (Å): 5.512 5.512 5.512
angles (deg): 60.00 60.00 60.00
Atoms (fractional coordinates):
Li (0.000, 0.000, 0.000)
Ac (0.750, 0.750, 0.750)
Eu (0.250, 0.250, 0.250)
Ga (0.500, 0.500, 0.500)

## Properties
density of states at the Fermi level: 10.34 states/eV per cell
total energy: -5.05 eV/atom
space-group type: No. 216
crystal system: cubic
total moment: 1.838 μB per atom

Record 4
The following is a PBE calculation of an optimized crystal structure of InGa4Sn5, from Alexandria.

a b c (Å): 4.108 4.108 17.345
angles (deg): 96.28 96.28 60.21
Atoms (fractional coordinates):
In (0.000, 0.000, 0.000)
Ga (0.198, 0.198, 0.596)
Ga (0.404, 0.404, 0.209)
Ga (0.596, 0.596, 0.791)
Ga (0.802, 0.802, 0.404)
Sn (0.102, 0.102, 0.305)
Sn (0.291, 0.291, 0.882)
Sn (0.500, 0.500, 0.500)
Sn (0.709, 0.709, 0.118)
Sn (0.898, 0.898, 0.695)

## Properties
density of states at the Fermi level: 5.31 states/eV per cell
total energy: -3.40 eV/atom
space-group type: No. 12
crystal system: monoclinic
total moment: 0.000 μB per atom

Record 5
The following is a PBE calculation of an optimized crystal structure of GeB2TeAs, from Alexandria.

a b c (Å): 4.202 4.202 5.574
angles (deg): 90.00 90.00 90.00
Atoms (fractional coordinates):
Ge (0.000, 0.000, 0.000)
B (0.000, 0.500, 0.000)
B (0.500, 0.000, 0.000)
Te (0.000, 0.000, 0.500)
As (0.500, 0.500, 0.500)

## Properties
density of states at the Fermi level: 3.35 states/eV per cell
total energy: -3.74 eV/atom
space-group type: No. 123
crystal system: tetragonal
total moment: 0.000 μB per atom

Record 6
The following is a PBE calculation of an optimized crystal structure of RbInSi, from Alexandria.

a b c (Å): 8.624 8.624 3.705
angles (deg): 90.00 90.00 137.11
Atoms (fractional coordinates):
Rb (0.101, 0.899, 0.750)
Rb (0.899, 0.101, 0.250)
In (0.302, 0.698, 0.250)
In (0.698, 0.302, 0.750)
Si (0.455, 0.545, 0.750)
Si (0.545, 0.455, 0.250)

## Properties
density of states at the Fermi level: 3.35 states/eV per cell
total energy: -2.86 eV/atom
space-group type: No. 63
crystal system: orthorhombic
total moment: 0.000 μB per atom

Record 7
The following is a PBE calculation of an optimized crystal structure of Ac3PmHo2Se6, from Alexandria.

a b c (Å): 7.281 7.281 7.671
angles (deg): 99.11 99.11 120.15
Atoms (fractional coordinates):
Ac (0.000, 0.000, 0.000)
Ac (0.337, 0.663, 0.000)
Ac (0.663, 0.337, 0.000)
Pm (0.500, 0.500, 0.500)
Ho (0.167, 0.833, 0.500)
Ho (0.833, 0.167, 0.500)
Se (0.084, 0.426, 0.277)
Se (0.231, 0.231, 0.720)
Se (0.426, 0.084, 0.277)
Se (0.574, 0.916, 0.723)
Se (0.769, 0.769, 0.280)
Se (0.916, 0.574, 0.723)

## Properties
density of states at the Fermi level: 5.00 states/eV per cell
total energy: -5.74 eV/atom
space-group type: No. 12
crystal system: monoclinic
total moment: 0.000 μB per atom

Record 8
The following is a PBE calculation of an optimized crystal structure of Y2Er15Sc2, from Alexandria.

a b c (Å): 8.573 8.573 8.573
angles (deg): 79.73 79.73 79.73
Atoms (fractional coordinates):
Y (0.178, 0.178, 0.178)
Y (0.822, 0.822, 0.822)
Er (0.000, 0.500, 0.500)
Er (0.134, 0.134, 0.645)
Er (0.134, 0.645, 0.134)
Er (0.204, 0.500, 0.796)
Er (0.204, 0.796, 0.500)
Er (0.355, 0.866, 0.866)
Er (0.500, 0.000, 0.500)
Er (0.500, 0.204, 0.796)
Er (0.500, 0.500, 0.000)
Er (0.500, 0.796, 0.204)
Er (0.645, 0.134, 0.134)
Er (0.796, 0.204, 0.500)
Er (0.796, 0.500, 0.204)
Er (0.866, 0.355, 0.866)
Er (0.866, 0.866, 0.355)
Sc (0.409, 0.409, 0.409)
Sc (0.591, 0.591, 0.591)

## Properties
density of states at the Fermi level: 34.53 states/eV per cell
total energy: -4.67 eV/atom
space-group type: No. 166
crystal system: trigonal
total moment: 0.006 μB per atom

Record 9
The following is a PBE calculation of an optimized crystal structure of Ca3Nd3SmTe8, from Alexandria.

a b c (Å): 9.030 9.030 9.030
angles (deg): 59.30 59.30 59.30
Atoms (fractional coordinates):
Ca (0.000, 0.500, 0.500)
Ca (0.500, 0.000, 0.500)
Ca (0.500, 0.500, 0.000)
Nd (0.000, 0.000, 0.500)
Nd (0.000, 0.500, 0.000)
Nd (0.500, 0.000, 0.000)
Sm (0.500, 0.500, 0.500)
Te (0.249, 0.249, 0.750)
Te (0.249, 0.750, 0.249)
Te (0.250, 0.751, 0.751)
Te (0.251, 0.251, 0.251)
Te (0.749, 0.749, 0.749)
Te (0.750, 0.249, 0.249)
Te (0.751, 0.250, 0.751)
Te (0.751, 0.751, 0.250)

## Properties
density of states at the Fermi level: 4.95 states/eV per cell
total energy: -4.86 eV/atom
space-group type: No. 166
crystal system: trigonal
total moment: 0.000 μB per atom

Record 10
The following is a PBE calculation of an optimized crystal structure of TbSmHo2Hg4, from Alexandria.

a b c (Å): 9.166 9.166 9.166
angles (deg): 33.50 33.50 33.50
Atoms (fractional coordinates):
Tb (0.000, 0.000, 0.000)
Sm (0.500, 0.500, 0.500)
Ho (0.250, 0.250, 0.250)
Ho (0.750, 0.750, 0.750)
Hg (0.124, 0.124, 0.124)
Hg (0.374, 0.374, 0.374)
Hg (0.626, 0.626, 0.626)
Hg (0.876, 0.876, 0.876)

## Properties
density of states at the Fermi level: 8.63 states/eV per cell
total energy: -2.94 eV/atom
space-group type: No. 166
crystal system: trigonal
total moment: 0.088 μB per atom

Record 11
The following is a PBE calculation of an optimized crystal structure of Ba3Sn9Pt2, from Alexandria.

a b c (Å): 9.657 9.657 9.657
angles (deg): 152.02 99.28 87.46
Atoms (fractional coordinates):
Ba (0.000, 0.000, 0.000)
Ba (0.314, 0.314, 0.000)
Ba (0.686, 0.686, 0.000)
Sn (0.017, 0.654, 0.364)
Sn (0.166, 0.878, 0.288)
Sn (0.290, 0.654, 0.636)
Sn (0.411, 0.122, 0.288)
Sn (0.500, 0.000, 0.500)
Sn (0.589, 0.878, 0.712)
Sn (0.710, 0.346, 0.364)
Sn (0.834, 0.122, 0.712)
Sn (0.983, 0.346, 0.636)
Pt (0.281, 0.500, 0.781)
Pt (0.719, 0.500, 0.219)

## Properties
density of states at the Fermi level: 4.35 states/eV per cell
total energy: -4.32 eV/atom
space-group type: No. 71
crystal system: orthorhombic
total moment: 0.000 μB per atom

Record 12
The following is a PBE calculation of an optimized crystal structure of TlCd3Hg, from Alexandria.

a b c (Å): 5.460 5.460 5.460
angles (deg): 90.00 90.00 90.00
Atoms (fractional coordinates):
Tl (0.000, 0.000, 0.000)
Cd (0.000, 0.500, 0.500)
Cd (0.500, 0.000, 0.500)
Cd (0.500, 0.500, 0.000)
Hg (0.500, 0.500, 0.500)

## Properties
density of states at the Fermi level: 3.40 states/eV per cell
total energy: -0.85 eV/atom
space-group type: No. 221
crystal system: cubic
total moment: 0.000 μB per atom